# Cd4CoBr PBE optimized geometry
data_Cd4CoBr
_cell_length_a 5.838
_cell_length_b 5.838
_cell_length_c 5.838
_cell_angle_alpha 60.00
_cell_angle_beta 60.00
_cell_angle_gamma 60.00
_symmetry_space_group_name_H-M 'P 1'
_symmetry_Int_Tables_number 1
loop_
_symmetry_equiv_pos_as_xyz
'x,y,z'
loop_
_atom_site_label
_atom_site_fract_x
_atom_site_fract_y
_atom_site_fract_z
_atom_site_occupancy
Cd1 0.376 0.376 0.872 1
Br1 0.000 0.000 0.000 1
Cd2 0.872 0.376 0.376 1
Cd3 0.376 0.376 0.376 1
Cd4 0.376 0.872 0.376 1
Co1 0.750 0.750 0.750 1
# Magnetization, μB/f.u.: 2.02
# DOS at the Fermi energy, states/eV/f.u.: 5.73
# Formation energy from raw total energies, eV/atom: 0.48
# Mass density, g cm⁻³: 6.9

***

# CdCo2Br6 PBE optimized geometry
data_CdCo2Br6
_cell_length_a 3.996
_cell_length_b 6.861
_cell_length_c 11.032
_cell_angle_alpha 97.28
_cell_angle_beta 90.00
_cell_angle_gamma 106.93
_symmetry_space_group_name_H-M 'P 1'
_symmetry_Int_Tables_number 1
loop_
_symmetry_equiv_pos_as_xyz
'x,y,z'
loop_
_atom_site_label
_atom_site_fract_x
_atom_site_fract_y
_atom_site_fract_z
_atom_site_occupancy
Br1 0.150 0.300 0.123 1
Co1 0.293 0.586 0.763 1
Cd1 0.000 0.000 0.500 1
Br2 0.111 0.221 0.732 1
Br3 0.634 0.267 0.429 1
Br4 0.850 0.700 0.877 1
Co2 0.707 0.414 0.237 1
Br5 0.889 0.779 0.268 1
Br6 0.366 0.733 0.571 1
# Magnetization, μB/f.u.: 6.00
# DOS at the Fermi energy, states/eV/f.u.: 0.67
# Formation energy from raw total energies, eV/atom: -0.43
# Mass density, g cm⁻³: 4.1

***

# CdCoBr PBE optimized geometry
data_CdCoBr
_cell_length_a 3.505
_cell_length_b 3.505
_cell_length_c 6.132
_cell_angle_alpha 90.00
_cell_angle_beta 90.00
_cell_angle_gamma 120.00
_symmetry_space_group_name_H-M 'P 1'
_symmetry_Int_Tables_number 1
loop_
_symmetry_equiv_pos_as_xyz
'x,y,z'
loop_
_atom_site_label
_atom_site_fract_x
_atom_site_fract_y
_atom_site_fract_z
_atom_site_occupancy
Cd1 0.667 0.333 0.393 1
Co1 0.333 0.667 0.690 1
Br1 0.000 0.000 0.917 1
# Energy relative to the lowest polymorph listed for this composition, eV per atom: 0.000
# Magnetization, μB/f.u.: 1.98
# DOS at the Fermi energy, states/eV/f.u.: 0.32
# Formation energy from raw total energies, eV/atom: 0.15
# Mass density, g cm⁻³: 6.4

***

# CdCoBr PBE optimized geometry
data_CdCoBr
_cell_length_a 7.157
_cell_length_b 6.721
_cell_length_c 3.460
_cell_angle_alpha 82.68
_cell_angle_beta 68.66
_cell_angle_gamma 28.65
_symmetry_space_group_name_H-M 'P 1'
_symmetry_Int_Tables_number 1
loop_
_symmetry_equiv_pos_as_xyz
'x,y,z'
loop_
_atom_site_label
_atom_site_fract_x
_atom_site_fract_y
_atom_site_fract_z
_atom_site_occupancy
Cd1 0.313 0.313 0.687 1
Br1 0.028 0.028 0.972 1
Co1 0.659 0.659 0.341 1
# Energy relative to the lowest polymorph listed for this composition, eV per atom: 0.194
# Magnetization, μB/f.u.: 1.97
# DOS at the Fermi energy, states/eV/f.u.: 3.52
# Formation energy from raw total energies, eV/atom: 0.35
# Mass density, g cm⁻³: 6.2

***

# CdCoBr3 PBE optimized geometry
data_CdCoBr3
_cell_length_a 5.020
_cell_length_b 5.020
_cell_length_c 5.020
_cell_angle_alpha 90.00
_cell_angle_beta 90.00
_cell_angle_gamma 90.00
_symmetry_space_group_name_H-M 'P 1'
_symmetry_Int_Tables_number 1
loop_
_symmetry_equiv_pos_as_xyz
'x,y,z'
loop_
_atom_site_label
_atom_site_fract_x
_atom_site_fract_y
_atom_site_fract_z
_atom_site_occupancy
Cd1 0.500 0.500 0.500 1
Br1 0.500 0.000 0.000 1
Br2 0.000 0.000 0.500 1
Co1 0.000 0.000 0.000 1
Br3 0.000 0.500 0.000 1
# Energy relative to the lowest polymorph listed for this composition, eV per atom: 0.000
# Magnetization, μB/f.u.: 1.81
# DOS at the Fermi energy, states/eV/f.u.: 6.15
# Formation energy from raw total energies, eV/atom: -0.09
# Mass density, g cm⁻³: 5.4

***

# Cd3CoBr8 PBE optimized geometry
data_Cd3CoBr8
_cell_length_a 8.003
_cell_length_b 8.004
_cell_length_c 8.287
_cell_angle_alpha 119.25
_cell_angle_beta 90.00
_cell_angle_gamma 120.00
_symmetry_space_group_name_H-M 'P 1'
_symmetry_Int_Tables_number 1
loop_
_symmetry_equiv_pos_as_xyz
'x,y,z'
loop_
_atom_site_label
_atom_site_fract_x
_atom_site_fract_y
_atom_site_fract_z
_atom_site_occupancy
Br1 0.255 0.510 0.768 1
Cd1 0.500 0.500 0.000 1
Br2 0.770 0.540 0.781 1
Cd2 0.500 0.000 0.000 1
Br3 0.230 0.460 0.219 1
Co1 0.000 0.000 0.000 1
Br4 0.770 0.009 0.781 1
Cd3 0.000 0.500 0.000 1
Br5 0.230 0.991 0.219 1
Br6 0.761 0.991 0.219 1
Br7 0.745 0.490 0.232 1
Br8 0.239 0.009 0.781 1
# Magnetization, μB/f.u.: 3.00
# DOS at the Fermi energy, states/eV/f.u.: 0.95
# Formation energy from raw total energies, eV/atom: -0.70
# Mass density, g cm⁻³: 4.5